[1]
The following is a GGA-PBE calculation of a relaxed Rb2NaMgHg crystal, from the Alexandria database.

Summary:
As for the symmetry: No. 123.

abc: 7.000 7.000 5.475
angles: 90.00 90.00 90.00
Element x y z (fractional)
Rb (0.000, 0.500, 0.000)
Rb (0.500, 0.000, 0.000)
Na (0.000, 0.000, 0.500)
Mg (0.500, 0.500, 0.500)
Hg (0.500, 0.500, 0.000)


[2]
The following is a GGA-PBE calculation of a relaxed Ca6Pd5Pt crystal, from the Alexandria database.

Summary:
As for the symmetry: No. 10.

abc: 4.960 7.107 7.830
angles: 90.00 108.22 90.00
Element x y z (fractional)
Ca (0.000, 0.246, 0.000)
Ca (0.000, 0.754, 0.000)
Ca (0.336, 0.249, 0.670)
Ca (0.336, 0.751, 0.670)
Ca (0.664, 0.249, 0.330)
Ca (0.664, 0.751, 0.330)
Pd (0.165, 0.500, 0.334)
Pd (0.167, 0.000, 0.339)
Pd (0.500, 0.500, 0.000)
Pd (0.833, 0.000, 0.661)
Pd (0.835, 0.500, 0.666)
Pt (0.500, 0.000, 0.000)


[3]
The following is a GGA-PBE calculation of a relaxed AlAuS2 crystal, from the Alexandria database.

Summary:
As for the symmetry: No. 33. The uncorrected formation energy is -0.627 eV/atom.

abc: 6.708 8.407 6.434
angles: 90.00 90.00 90.00
Element x y z (fractional)
Al (0.083, 0.124, 0.000)
Al (0.417, 0.624, 0.500)
Al (0.583, 0.376, 0.000)
Al (0.917, 0.876, 0.500)
Au (0.212, 0.651, 0.903)
Au (0.288, 0.151, 0.403)
Au (0.712, 0.849, 0.903)
Au (0.788, 0.349, 0.403)
S (0.029, 0.108, 0.642)
S (0.081, 0.641, 0.565)
S (0.419, 0.141, 0.065)
S (0.471, 0.608, 0.142)
S (0.529, 0.392, 0.642)
S (0.581, 0.859, 0.565)
S (0.919, 0.359, 0.065)
S (0.971, 0.892, 0.142)


[4]
The following is a GGA-PBE calculation of a relaxed LaTlSb2 crystal, from the Alexandria database.

Summary:
As for the symmetry: No. 166. The uncorrected formation energy is -0.222 eV/atom.

abc: 11.637 11.637 11.637
angles: 17.38 17.38 17.38
Element x y z (fractional)
La (0.000, 0.000, 0.000)
Tl (0.500, 0.500, 0.500)
Sb (0.254, 0.254, 0.254)
Sb (0.746, 0.746, 0.746)


[5]
The following is a GGA-PBE calculation of a relaxed GaSb2Pd9 crystal, from the Alexandria database.

Summary:
As for the symmetry: No. 123. The uncorrected formation energy is -0.424 eV/atom.

abc: 4.016 4.016 11.973
angles: 90.00 90.00 90.00
Element x y z (fractional)
Ga (0.000, 0.000, 0.000)
Sb (0.000, 0.000, 0.325)
Sb (0.000, 0.000, 0.675)
Pd (0.000, 0.500, 0.161)
Pd (0.000, 0.500, 0.500)
Pd (0.000, 0.500, 0.839)
Pd (0.500, 0.000, 0.161)
Pd (0.500, 0.000, 0.500)
Pd (0.500, 0.000, 0.839)
Pd (0.500, 0.500, 0.000)
Pd (0.500, 0.500, 0.332)
Pd (0.500, 0.500, 0.668)


[6]
The following is a GGA-PBE calculation of a relaxed SrCSe2Br crystal, from the Alexandria database.

Summary:
As for the symmetry: No. 123. The uncorrected formation energy is 1.240 eV/atom.

abc: 6.189 6.189 5.915
angles: 90.00 90.00 90.00
Element x y z (fractional)
Sr (0.000, 0.000, 0.000)
C (0.500, 0.500, 0.500)
Se (0.000, 0.500, 0.000)
Se (0.500, 0.000, 0.000)
Br (0.000, 0.000, 0.500)


The DFT total energy results, record by record, are as follows: -0.974 -4.381 -4.446 -4.106 -5.258 -2.669 eV/atom.
The DOS at the Fermi energy results, record by record, are as follows: 3.0 4.5 0.0 2.2 3.4 8.2 states/eV/cell.